# 1
Material: NdScCd11
Method: DFT, PBE-GGA
State: relaxed

Geometry as CIF:
```
data_NdScCd11
_chemical_formula_sum 'Nd2 Sc2 Cd22'
_cell_length_a 6.0905
_cell_length_b 13.9970
_cell_length_c 7.7470
_cell_angle_alpha 90.00
_cell_angle_beta 113.04
_cell_angle_gamma 90.00
_symmetry_space_group_name_H-M 'C 1 2/m 1'
_symmetry_Int_Tables_number 12
_symmetry_space_group_name_Hall '-C 2y'
loop_
_atom_site_label
_atom_site_type_symbol
_atom_site_fract_x
_atom_site_fract_y
_atom_site_fract_z
_atom_site_occupancy
Nd1 Nd 0.0000 0.0000 0.0000 1
Sc1 Sc 0.0000 0.0000 0.5000 1
Cd1 Cd 0.0000 0.5000 0.5000 1
Cd2 Cd 0.1119 0.3926 0.2137 1
Cd3 Cd 0.1682 0.1736 0.3482 1
Cd4 Cd 0.2500 0.2500 0.0000 1
```

Output
E_form = -1.9 eV/f.u.
DOS at the Fermi energy = 0.425 states/eV/atom



# 2
Material: Nd8ScCd2
Method: DFT, PBE-GGA
State: relaxed

Geometry as CIF:
```
data_Nd8ScCd2
_chemical_formula_sum 'Nd16 Sc2 Cd4'
_cell_length_a 16.6708
_cell_length_b 5.5670
_cell_length_c 8.7528
_cell_angle_alpha 90.00
_cell_angle_beta 119.63
_cell_angle_gamma 90.00
_symmetry_space_group_name_H-M 'C 1 2/m 1'
_symmetry_Int_Tables_number 12
_symmetry_space_group_name_Hall '-C 2y'
loop_
_atom_site_label
_atom_site_type_symbol
_atom_site_fract_x
_atom_site_fract_y
_atom_site_fract_z
_atom_site_occupancy
Nd1 Nd 0.0647 0.0000 0.2300 1
Nd2 Nd 0.0964 0.5000 0.9562 1
Nd3 Nd 0.1381 0.0000 0.6917 1
Nd4 Nd 0.1843 0.5000 0.4542 1
Sc1 Sc 0.0000 0.5000 0.5000 1
Cd1 Cd 0.2284 0.0000 0.1241 1
```

Output
E_form = -0.7 eV/f.u.
DOS at the Fermi energy = 1.263 states/eV/atom



# 3
Material: NdSc2Cd2
Method: DFT, PBE-GGA
State: relaxed

Geometry as CIF:
```
data_NdSc2Cd2
_chemical_formula_sum 'Nd2 Sc4 Cd4'
_cell_length_a 3.3685
_cell_length_b 22.9624
_cell_length_c 3.2949
_cell_angle_alpha 90.00
_cell_angle_beta 90.00
_cell_angle_gamma 90.00
_symmetry_space_group_name_H-M 'C m m m'
_symmetry_Int_Tables_number 65
_symmetry_space_group_name_Hall '-C 2 2'
loop_
_atom_site_label
_atom_site_type_symbol
_atom_site_fract_x
_atom_site_fract_y
_atom_site_fract_z
_atom_site_occupancy
Nd1 Nd 0.0000 0.0000 0.0000 1
Sc1 Sc 0.0000 0.1904 0.0000 1
Cd1 Cd 0.0000 0.3953 0.5000 1
```

Output
E_form = -0.4 eV/f.u.
E above lowest polymorph = 0 meV per atom
DOS at the Fermi energy = 1.423 states/eV/atom



# 4
Material: Nd3ScCd4
Method: DFT, PBE-GGA
State: relaxed

Geometry as CIF:
```
data_Nd3ScCd4
_chemical_formula_sum 'Nd3 Sc1 Cd4'
_cell_length_a 3.7129
_cell_length_b 3.7129
_cell_length_c 15.6571
_cell_angle_alpha 90.00
_cell_angle_beta 90.00
_cell_angle_gamma 90.00
_symmetry_space_group_name_H-M 'P 4/m m m'
_symmetry_Int_Tables_number 123
_symmetry_space_group_name_Hall '-P 4 2'
loop_
_atom_site_label
_atom_site_type_symbol
_atom_site_fract_x
_atom_site_fract_y
_atom_site_fract_z
_atom_site_occupancy
Nd1 Nd 0.0000 0.0000 0.0000 1
Nd2 Nd 0.0000 0.0000 0.2619 1
Sc1 Sc 0.0000 0.0000 0.5000 1
Cd1 Cd 0.5000 0.5000 0.1298 1
Cd2 Cd 0.5000 0.5000 0.3964 1
```

Output
E_form = -2.4 eV/f.u.
DOS at the Fermi energy = 1.168 states/eV/atom



# 5
Material: Nd5ScCd6
Method: DFT, PBE-GGA
State: relaxed

Geometry as CIF:
```
data_Nd5ScCd6
_chemical_formula_sum 'Nd10 Sc2 Cd12'
_cell_length_a 5.3520
_cell_length_b 16.1534
_cell_length_c 7.6671
_cell_angle_alpha 90.00
_cell_angle_beta 90.00
_cell_angle_gamma 90.00
_symmetry_space_group_name_H-M 'C m m m'
_symmetry_Int_Tables_number 65
_symmetry_space_group_name_Hall '-C 2 2'
loop_
_atom_site_label
_atom_site_type_symbol
_atom_site_fract_x
_atom_site_fract_y
_atom_site_fract_z
_atom_site_occupancy
Nd1 Nd 0.0000 0.0000 0.0000 1
Nd2 Nd 0.0000 0.3285 0.0000 1
Nd3 Nd 0.0000 0.3343 0.5000 1
Sc1 Sc 0.0000 0.0000 0.5000 1
Cd1 Cd 0.0000 0.1584 0.2614 1
Cd2 Cd 0.0000 0.5000 0.2634 1
```

Output
E_form = -3.6 eV/f.u.
DOS at the Fermi energy = 1.213 states/eV/atom



# 6
Material: Nd3Sc2Cd3
Method: DFT, PBE-GGA
State: relaxed

Geometry as CIF:
```
data_Nd3Sc2Cd3
_chemical_formula_sum 'Nd6 Sc4 Cd6'
_cell_length_a 3.6684
_cell_length_b 5.4443
_cell_length_c 22.0981
_cell_angle_alpha 90.00
_cell_angle_beta 90.00
_cell_angle_gamma 90.00
_symmetry_space_group_name_H-M 'I m m m'
_symmetry_Int_Tables_number 71
_symmetry_space_group_name_Hall '-I 2 2'
loop_
_atom_site_label
_atom_site_type_symbol
_atom_site_fract_x
_atom_site_fract_y
_atom_site_fract_z
_atom_site_occupancy
Nd1 Nd 0.0000 0.0000 0.0000 1
Nd2 Nd 0.0000 0.5000 0.1276 1
Sc1 Sc 0.0000 0.0000 0.2383 1
Cd1 Cd 0.0000 0.0000 0.5000 1
Cd2 Cd 0.0000 0.5000 0.3703 1
```

Output
E_form = -1.6 eV/f.u.
DOS at the Fermi energy = 1.536 states/eV/atom